Record 1
# BeTe3Mo (PBE-GGA, optimized geometry)
# crystal system	cubic
# excess energy over the best structure of this formula in the dataset	0	meV/atom
data_BeTe3Mo
_chemical_formula_sum 'Be1 Te3 Mo1'
_space_group_name_H-M_alt 'P m -3 m'
_space_group_IT_number 221
_space_group_name_Hall '-P 4 2 3'
_cell_length_a 4.935
_cell_length_b 4.935
_cell_length_c 4.935
_cell_angle_alpha 90.00
_cell_angle_beta 90.00
_cell_angle_gamma 90.00
loop_
_atom_site_label
_atom_site_fract_x
_atom_site_fract_y
_atom_site_fract_z
Be1 0.000 0.000 0.000
Te1 0.000 0.000 0.500
Mo1 0.500 0.500 0.500

---

Record 2
# BeTe3Mo (PBE-GGA, optimized geometry)
# crystal system	cubic
# excess energy over the best structure of this formula in the dataset	34	meV/atom
data_BeTe3Mo
_chemical_formula_sum 'Be1 Te3 Mo1'
_space_group_name_H-M_alt 'P m -3 m'
_space_group_IT_number 221
_space_group_name_Hall '-P 4 2 3'
_cell_length_a 5.303
_cell_length_b 5.303
_cell_length_c 5.303
_cell_angle_alpha 90.00
_cell_angle_beta 90.00
_cell_angle_gamma 90.00
loop_
_atom_site_label
_atom_site_fract_x
_atom_site_fract_y
_atom_site_fract_z
Be1 0.000 0.000 0.000
Te1 0.000 0.500 0.500
Mo1 0.500 0.500 0.500

---

Record 3
# BeTeMo2 (PBE-GGA, optimized geometry)
# crystal system	cubic
# excess energy over the best structure of this formula in the dataset	340	meV/atom
data_BeTeMo2
_chemical_formula_sum 'Be4 Te4 Mo8'
_space_group_name_H-M_alt 'F m -3 m'
_space_group_IT_number 225
_space_group_name_Hall '-F 4 2 3'
_cell_length_a 6.290
_cell_length_b 6.290
_cell_length_c 6.290
_cell_angle_alpha 90.00
_cell_angle_beta 90.00
_cell_angle_gamma 90.00
loop_
_atom_site_label
_atom_site_fract_x
_atom_site_fract_y
_atom_site_fract_z
Be1 0.000 0.000 0.000
Te1 0.000 0.000 0.500
Mo1 0.250 0.250 0.250

---

Record 4
# BeTeMo2 (PBE-GGA, optimized geometry)
# crystal system	tetragonal
# excess energy over the best structure of this formula in the dataset	413	meV/atom
data_BeTeMo2
_chemical_formula_sum 'Be4 Te4 Mo8'
_space_group_name_H-M_alt 'I -4 2 d'
_space_group_IT_number 122
_space_group_name_Hall 'I -4 2bw'
_cell_length_a 3.885
_cell_length_b 3.885
_cell_length_c 18.463
_cell_angle_alpha 90.00
_cell_angle_beta 90.00
_cell_angle_gamma 90.00
loop_
_atom_site_label
_atom_site_fract_x
_atom_site_fract_y
_atom_site_fract_z
Be1 0.000 0.000 0.000
Te1 0.000 0.000 0.500
Mo1 0.200 0.250 0.125

---

Record 5
# Be2TeMo (PBE-GGA, optimized geometry)
# crystal system	orthorhombic
data_Be2TeMo
_chemical_formula_sum 'Be2 Te1 Mo1'
_space_group_name_H-M_alt 'P m m m'
_space_group_IT_number 47
_space_group_name_Hall '-P 2 2'
_cell_length_a 3.226
_cell_length_b 3.532
_cell_length_c 5.266
_cell_angle_alpha 90.00
_cell_angle_beta 90.00
_cell_angle_gamma 90.00
loop_
_atom_site_label
_atom_site_fract_x
_atom_site_fract_y
_atom_site_fract_z
Be1 0.000 0.000 0.183
Te1 0.000 0.500 0.500
Mo1 0.500 0.500 0.000

---

Record 6
# Be2TeMo (PBE-GGA, optimized geometry)
# crystal system	orthorhombic
data_Be2TeMo
_chemical_formula_sum 'Be4 Te2 Mo2'
_space_group_name_H-M_alt 'I m m 2'
_space_group_IT_number 44
_space_group_name_Hall 'I 2 -2'
_cell_length_a 3.595
_cell_length_b 3.597
_cell_length_c 8.643
_cell_angle_alpha 90.00
_cell_angle_beta 90.00
_cell_angle_gamma 90.00
loop_
_atom_site_label
_atom_site_fract_x
_atom_site_fract_y
_atom_site_fract_z
Be1 0.000 0.000 0.000
Be2 0.000 0.500 0.252
Te1 0.000 0.500 0.750
Mo1 0.000 0.000 0.500

---

Record 7
# BeTeMo2 (PBE-GGA, optimized geometry)
# crystal system	orthorhombic
# excess energy over the best structure of this formula in the dataset	227	meV/atom
data_BeTeMo2
_chemical_formula_sum 'Be2 Te2 Mo4'
_space_group_name_H-M_alt 'I m m m'
_space_group_IT_number 71
_space_group_name_Hall '-I 2 2'
_cell_length_a 3.465
_cell_length_b 4.650
_cell_length_c 7.758
_cell_angle_alpha 90.00
_cell_angle_beta 90.00
_cell_angle_gamma 90.00
loop_
_atom_site_label
_atom_site_fract_x
_atom_site_fract_y
_atom_site_fract_z
Be1 0.000 0.000 0.000
Te1 0.000 0.000 0.500
Mo1 0.000 0.500 0.299

---

Record 8
# BeTeMo2 (PBE-GGA, optimized geometry)
# crystal system	trigonal
# excess energy over the best structure of this formula in the dataset	169	meV/atom
data_BeTeMo2
_chemical_formula_sum 'Be3 Te3 Mo6'
_space_group_name_H-M_alt 'R -3 m'
_space_group_IT_number 166
_space_group_name_Hall '-R 3 2"'
_cell_length_a 3.3751
_cell_length_b 3.3751
_cell_length_c 19.7418
_cell_angle_alpha 90.00
_cell_angle_beta 90.00
_cell_angle_gamma 120.00
loop_
_atom_site_label
_atom_site_fract_x
_atom_site_fract_y
_atom_site_fract_z
Be1 0.0000 0.0000 0.0000
Te1 0.0000 0.0000 0.5000
Mo1 0.0000 0.0000 0.2746

---

Record 9
# BeTeMo2 (PBE-GGA, optimized geometry)
# crystal system	orthorhombic
# excess energy over the best structure of this formula in the dataset	296	meV/atom
data_BeTeMo2
_chemical_formula_sum 'Be2 Te2 Mo4'
_space_group_name_H-M_alt 'I m m 2'
_space_group_IT_number 44
_space_group_name_Hall 'I 2 -2'
_cell_length_a 3.443
_cell_length_b 4.393
_cell_length_c 8.329
_cell_angle_alpha 90.00
_cell_angle_beta 90.00
_cell_angle_gamma 90.00
loop_
_atom_site_label
_atom_site_fract_x
_atom_site_fract_y
_atom_site_fract_z
Be1 0.000 0.000 0.000
Te1 0.000 0.500 0.242
Mo1 0.000 0.000 0.481
Mo2 0.000 0.500 0.729

---

Record 10
# BeTeMo2 (PBE-GGA, optimized geometry)
# crystal system	orthorhombic
# excess energy over the best structure of this formula in the dataset	432	meV/atom
data_BeTeMo2
_chemical_formula_sum 'Be2 Te2 Mo4'
_space_group_name_H-M_alt 'C m m 2'
_space_group_IT_number 35
_space_group_name_Hall 'C 2 -2'
_cell_length_a 3.313
_cell_length_b 4.760
_cell_length_c 8.830
_cell_angle_alpha 90.00
_cell_angle_beta 90.00
_cell_angle_gamma 90.00
loop_
_atom_site_label
_atom_site_fract_x
_atom_site_fract_y
_atom_site_fract_z
Be1 0.000 0.000 0.000
Te1 0.000 0.500 0.297
Mo1 0.000 0.000 0.574
Mo2 0.000 0.500 0.806

---

Record 11
# BeTeMo2 (PBE-GGA, optimized geometry)
# crystal system	trigonal
# excess energy over the best structure of this formula in the dataset	398	meV/atom
data_BeTeMo2
_chemical_formula_sum 'Be3 Te3 Mo6'
_space_group_name_H-M_alt 'R 3 m'
_space_group_IT_number 160
_space_group_name_Hall 'R 3 -2"'
_cell_length_a 3.1783
_cell_length_b 3.1783
_cell_length_c 23.9489
_cell_angle_alpha 90.00
_cell_angle_beta 90.00
_cell_angle_gamma 120.00
loop_
_atom_site_label
_atom_site_fract_x
_atom_site_fract_y
_atom_site_fract_z
Be1 0.0000 0.0000 0.0000
Te1 0.0000 0.0000 0.2440
Mo1 0.0000 0.0000 0.4841
Mo2 0.0000 0.0000 0.7423

---

Record 12
# BeTeMo (PBE-GGA, optimized geometry)
# crystal system	orthorhombic
# excess energy over the best structure of this formula in the dataset	595	meV/atom
data_BeTeMo
_chemical_formula_sum 'Be4 Te4 Mo4'
_space_group_name_H-M_alt 'F m m 2'
_space_group_IT_number 42
_space_group_name_Hall 'F 2 -2'
_cell_length_a 3.623
_cell_length_b 4.690
_cell_length_c 12.788
_cell_angle_alpha 90.00
_cell_angle_beta 90.00
_cell_angle_gamma 90.00
loop_
_atom_site_label
_atom_site_fract_x
_atom_site_fract_y
_atom_site_fract_z
Be1 0.000 0.000 0.000
Te1 0.000 0.000 0.293
Mo1 0.000 0.000 0.617

---

Record 13
# BeTeMo4 (PBE-GGA, optimized geometry)
# crystal system	cubic
data_BeTeMo4
_chemical_formula_sum 'Be4 Te4 Mo16'
_space_group_name_H-M_alt 'F -4 3 m'
_space_group_IT_number 216
_space_group_name_Hall 'F -4 2 3'
_cell_length_a 7.466
_cell_length_b 7.466
_cell_length_c 7.466
_cell_angle_alpha 90.00
_cell_angle_beta 90.00
_cell_angle_gamma 90.00
loop_
_atom_site_label
_atom_site_fract_x
_atom_site_fract_y
_atom_site_fract_z
Be1 0.000 0.000 0.000
Te1 0.250 0.250 0.750
Mo1 0.126 0.126 0.374

---

Record 14
# BeTeMo2 (PBE-GGA, optimized geometry)
# crystal system	monoclinic
# excess energy over the best structure of this formula in the dataset	338	meV/atom
data_BeTeMo2
_chemical_formula_sum 'Be1 Te1 Mo2'
_space_group_name_H-M_alt 'P 1 m 1'
_space_group_IT_number 6
_space_group_name_Hall 'P -2y'
_cell_length_a 3.210
_cell_length_b 4.318
_cell_length_c 4.818
_cell_angle_alpha 90.00
_cell_angle_beta 95.41
_cell_angle_gamma 90.00
loop_
_atom_site_label
_atom_site_fract_x
_atom_site_fract_y
_atom_site_fract_z
Be1 0.000 0.000 0.000
Te1 0.458 0.500 0.889
Mo1 0.019 0.500 0.330
Mo2 0.396 0.000 0.526

---

Table of calculated volume (Å³/atom), in record order: 24.0 29.8 15.6 17.4 15.0 14.0 15.6 16.2 15.7 17.4 17.5 18.1 17.3 16.6
Table of ΔE_f (raw) (eV per atom), in record order: 0.883 0.917 0.477 0.550 0.375 0.389 0.364 0.306 0.433 0.569 0.534 0.727 0.710 0.475
Table of DFT total energy (eV per atom), in record order: -3.913 -3.879 -6.656 -6.582 -4.981 -4.967 -6.769 -6.826 -6.699 -6.564 -6.598 -5.173 -7.656 -6.658